Below is TiTlAs2 after structural relaxation, with properties calculated at the GGA-PBE level.

As for the formation energy: -0.1113 eV/atom. The mass density is 5.7 g/cm³. Its density of states at the Fermi level is 7.94 states/eV/cell.

```
data_TiTlAs2
_space_group_name_H-M_alt 'P 1'
_space_group_IT_number 1
_space_group_name_Hall 'P 1'
_cell_length_a 6.224
_cell_length_b 6.224
_cell_length_c 7.450
_cell_angle_alpha 65.31
_cell_angle_beta 65.31
_cell_angle_gamma 90.00
loop_
_atom_site_label
_atom_site_fract_x
_atom_site_fract_y
_atom_site_fract_z
_atom_site_occupancy
Tl1 0.000 0.000 0.000 1
Tl2 0.750 0.250 0.500 1
As1 0.569 0.125 0.250 1
As2 0.181 0.625 0.250 1
As3 0.375 0.431 0.750 1
As4 0.875 0.819 0.750 1
Ti1 0.500 0.500 0.000 1
Ti2 0.250 0.750 0.500 1
```